Cd2Ru2Pb after structural relaxation. Source: the Alexandria database, functional PBE.

The structure belongs to space group P4/mbm (No. 127); the cell edges are 6.830, 6.830 and 4.265 Å and the angles 90.00°, 90.00° and 90.00°. The distinct sites, in fractional coordinates, are Cd at (0.162, 0.338, 0.000), Ru at (0.131, 0.631, 0.500) and Pb at (0.000, 0.000, 0.500).

The calculation puts the total magnetization at 0.000 Bohr magnetons per cell. The density of states at the Fermi level comes out at 5.5 states/eV per cell. The calculation puts the relative energy among the computed polymorphs at 0.0 meV per atom. Its final energy is -4.510 eV/atom. The formation energy is 0.308 eV per atom.